A geometry-optimized Mn3CoP4O16 structure. Source: Alexandria via LeMat-Bulk, functional PBE with a Hubbard U.

Unit cell a=4.8936 b=6.0245 c=9.8131 alpha=90.00 beta=90.16 gamma=90.00
Sites, in units of the cell vectors:
Mn1 0.0000 0.0000 0.0000
Mn2 0.1589 0.5000 0.5702
Mn3 0.6563 0.0000 0.4929
Co1 0.5245 0.5000 0.0598
P1 0.1722 0.0000 0.6839
P2 0.4723 0.0000 0.1814
P3 0.6712 0.5000 0.3802
P4 0.9780 0.5000 0.8817
O1 0.2210 0.0000 0.8391
O2 0.2879 0.5000 0.9089
O3 0.3192 0.2008 0.6147
O4 0.3192 0.7992 0.6147
O5 0.3280 0.2026 0.1137
O6 0.3280 0.7974 0.1137
O7 0.3609 0.5000 0.4051
O8 0.4254 0.0000 0.3374
O9 0.7145 0.5000 0.2240
O10 0.7865 0.0000 0.1607
O11 0.8191 0.2990 0.4481
O12 0.8191 0.7010 0.4481
O13 0.8272 0.3002 0.9510
O14 0.8272 0.6998 0.9510
O15 0.8614 0.0000 0.6585
O16 0.9277 0.5000 0.7270

electronic total energy: -173.73 eV for the cell shown
SG: Pm (6)